Entry 1:
A plane-wave DFT calculation with PBE was carried out for a geometry-optimized PmMgAs2Pd5 structure.

a = 4.340 Å, b = 4.340 Å, c = 8.849 Å
α = 90.00°, β = 90.00°, γ = 90.00°
Space group P4/mmm (No. 123)
Asymmetric unit:
Pm 0.000 0.000 0.000 (multiplicity 1)
Mg 0.000 0.000 0.500 (multiplicity 1)
As 0.500 0.500 0.363 (multiplicity 2)
Pd 0.000 0.500 0.234 (multiplicity 4)
Pd 0.500 0.500 0.000 (multiplicity 1)

VASP energy ... -46.9 eV for the cell shown
N(E_F) ... 2.6 states/eV/cell
Formation energy from the elements ... -587 meV per atom


Entry 2:
A plane-wave DFT calculation with PBE was carried out for a geometry-optimized PrMg2As2Pd7 structure.

a = 5.921 Å, b = 5.891 Å, c = 12.145 Å
α = 90.00°, β = 90.07°, γ = 90.00°
Space group C2/m (No. 12)
Asymmetric unit:
Pr 0.000 0.000 0.000 (multiplicity 2)
Mg 0.001 0.000 0.332 (multiplicity 4)
As 0.001 0.500 0.309 (multiplicity 4)
Pd 0.000 0.500 0.000 (multiplicity 2)
Pd 0.227 0.500 0.500 (multiplicity 4)
Pd 0.250 0.250 0.180 (multiplicity 8)

VASP energy ... -120.1 eV for the cell shown
N(E_F) ... 13.7 states/eV/cell
Formation energy from the elements ... -537 meV per atom


Entry 3:
A plane-wave DFT calculation with PBE was carried out for a geometry-optimized Pr2MgAs3Pd4 structure.

a = 4.260 Å, b = 4.260 Å, c = 10.924 Å
α = 90.00°, β = 90.00°, γ = 90.00°
Space group P-4m2 (No. 115)
Asymmetric unit:
Pr 0.000 0.500 0.228 (multiplicity 2)
Mg 0.000 0.000 0.500 (multiplicity 1)
As 0.000 0.500 0.864 (multiplicity 2)
As 0.500 0.500 0.500 (multiplicity 1)
Pd 0.000 0.000 0.000 (multiplicity 1)
Pd 0.000 0.500 0.638 (multiplicity 2)
Pd 0.500 0.500 0.000 (multiplicity 1)

VASP energy ... -54.8 eV for the cell shown
N(E_F) ... 4.8 states/eV/cell
Formation energy from the elements ... -896 meV per atom


Please write out number 1 again, unchanged.
A plane-wave DFT calculation with PBE was carried out for a geometry-optimized PmMgAs2Pd5 structure.

a = 4.340 Å, b = 4.340 Å, c = 8.849 Å
α = 90.00°, β = 90.00°, γ = 90.00°
Space group P4/mmm (No. 123)
Asymmetric unit:
Pm 0.000 0.000 0.000 (multiplicity 1)
Mg 0.000 0.000 0.500 (multiplicity 1)
As 0.500 0.500 0.363 (multiplicity 2)
Pd 0.000 0.500 0.234 (multiplicity 4)
Pd 0.500 0.500 0.000 (multiplicity 1)

VASP energy ... -46.9 eV for the cell shown
N(E_F) ... 2.6 states/eV/cell
Formation energy from the elements ... -587 meV per atom


What is the N(E_F) in the second record?
13.7 states/eV/cell


N(E_F) of number 2 (PrMg2As2Pd7)?
13.7 states/eV/cell